# PBE with a Hubbard U NiPbAu2O8, relaxed
data_NiPbAu2O8
_cell_length_a 6.847
_cell_length_b 6.847
_cell_length_c 6.980
_cell_angle_alpha 90.00
_cell_angle_beta 90.00
_cell_angle_gamma 90.00
_space_group_name_H-M_alt 'I -4 m 2'
_space_group_IT_number 119
_space_group_name_Hall 'I -4 -2'
loop_
_atom_site_label
_atom_site_fract_x
_atom_site_fract_y
_atom_site_fract_z
Ni1 0.000 0.000 0.000
Pb1 0.000 0.500 0.250
Au1 0.000 0.000 0.500
Au2 0.000 0.500 0.750
O1 0.000 0.173 0.277
O2 0.000 0.316 0.967
# Energy ... -4.251 eV/atom